SrLaOs2: optimized geometry, GGA-PBE.

Cell lengths 6.3940, 6.3940, 6.3940 Å; angles 141.45, 135.89, 59.99 degrees
Closest atoms and distances in Å follow each position.
Positions (direct):
La: 0.2501 0.7501 0.5000  6 Os 3.00-3.28
Os: 0.9124 0.9124 0.0000  2 Os 2.37
Os: 0.8154 0.3154 0.5000  2 Os 2.37
Sr: 0.5221 0.5221 0.0000  6 Os 3.32-3.42, 4 La 3.48-3.68

Values from the calculation:
Density, g cm⁻³: 8.98
Calculated total energy, eV/atom: -6.9842
Formation enthalpy at 0 K, meV per atom: 283